1.
Nd2Sc2GeBi2: optimized geometry, PBE-GGA.

The space group is I4/mmm (No. 139) and the conventional cell measures 4.979, 4.979 and 16.686 Å, with angles of 90.00, 90.00 and 90.00 degrees. The distinct sites, in fractional coordinates, are Nd at (0.000, 0.000, 0.172), Sc at (0.000, 0.500, 0.000), Ge at (0.000, 0.000, 0.000) and Bi at (0.000, 0.000, 0.369).

Its raw total energy is -5.600 eV per atom. As for the formation energy: -0.660 eV per atom.

***

2.
Zn2SnPd6: optimized geometry, PBE-GGA.

The space group is C2/m (No. 12) and the conventional cell measures 8.599, 4.082 and 8.286 Å, with angles of 90.00, 103.51 and 90.00 degrees. The distinct sites, in fractional coordinates, are Zn at (0.193, 0.000, 0.250), Sn at (0.000, 0.500, 0.000), Pd at (0.010, 0.500, 0.326), Pd at (0.161, 0.000, 0.554) and Pd at (0.162, 0.000, 0.895).

Its raw total energy is -4.599 eV per atom. As for the formation energy: -0.409 eV per atom.

***

3.
RbZrBi2: optimized geometry, PBE-GGA.

The space group is R-3m (No. 166, hexagonal axes) and the conventional cell measures 4.0910, 4.0910 and 28.6775 Å, with angles of 90.00, 90.00 and 120.00 degrees. The distinct sites, in fractional coordinates, are Rb at (0.0000, 0.0000, 0.0000), Zr at (0.0000, 0.0000, 0.5000) and Bi at (0.0000, 0.0000, 0.2335).

The calculation puts the energy above the most stable polymorph in this dataset at 8 meV per atom. Its raw total energy is -4.586 eV per atom. As for the formation energy: -0.266 eV per atom.

***

4.
Pm2TaGa3Pt4: optimized geometry, PBE-GGA.

The space group is P-4m2 (No. 115) and the conventional cell measures 4.320, 4.320 and 10.530 Å, with angles of 90.00, 90.00 and 90.00 degrees. The distinct sites, in fractional coordinates, are Pm at (0.000, 0.500, 0.243), Ta at (0.000, 0.000, 0.500), Ga at (0.000, 0.500, 0.872), Ga at (0.500, 0.500, 0.500), Pt at (0.000, 0.000, 0.000), Pt at (0.000, 0.500, 0.637) and Pt at (0.500, 0.500, 0.000).

Its raw total energy is -6.338 eV per atom. As for the formation energy: -0.878 eV per atom.

***

5.
Li3PdAu6: optimized geometry, PBE-GGA.

The space group is P2_1/m (No. 11) and the conventional cell measures 7.561, 4.706 and 9.795 Å, with angles of 90.00, 108.24 and 90.00 degrees. The distinct sites, in fractional coordinates, are Li at (0.090, 0.250, 0.239), Li at (0.302, 0.250, 0.029), Li at (0.305, 0.750, 0.375), Pd at (0.097, 0.750, 0.565), Au at (0.093, 0.250, 0.732), Au at (0.099, 0.750, 0.070), Au at (0.296, 0.250, 0.529), Au at (0.296, 0.750, 0.865), Au at (0.491, 0.250, 0.333) and Au at (0.491, 0.750, 0.164).

The calculation puts the energy above the most stable polymorph in this dataset at 0 meV per atom. Its raw total energy is -3.444 eV per atom. As for the formation energy: -0.384 eV per atom.

***

6.
Li2HfSnSe4: optimized geometry, PBE-GGA.

The space group is P2/m (No. 10) and the conventional cell measures 6.792, 3.944 and 7.165 Å, with angles of 90.00, 109.77 and 90.00 degrees. The distinct sites, in fractional coordinates, are Li at (0.000, 0.000, 0.000), Li at (0.000, 0.500, 0.500), Hf at (0.500, 0.000, 0.500), Sn at (0.500, 0.500, 0.000), Se at (0.249, 0.000, 0.718) and Se at (0.257, 0.500, 0.269).

Its raw total energy is -5.017 eV per atom. The calculation puts the uncorrected formation energy at -1.051 eV per atom.

***

7.
TmCd2Bi: optimized geometry, PBE-GGA.

The space group is P4/mmm (No. 123) and the conventional cell measures 4.477, 4.477 and 5.091 Å, with angles of 90.00, 90.00 and 90.00 degrees. The distinct sites, in fractional coordinates, are Tm at (0.000, 0.000, 0.000), Cd at (0.000, 0.500, 0.500) and Bi at (0.500, 0.500, 0.000).

Its raw total energy is -2.876 eV per atom. As for the formation energy: -0.330 eV per atom.

***

8.
ZrSi2Br: optimized geometry, PBE-GGA.

The space group is Fm-3m (No. 225) and the conventional cell measures 6.805, 6.805 and 6.805 Å, with angles of 90.00, 90.00 and 90.00 degrees. The distinct sites, in fractional coordinates, are Zr at (0.000, 0.000, 0.000), Si at (0.250, 0.250, 0.250) and Br at (0.000, 0.000, 0.500).

The calculation puts the energy above the most stable polymorph in this dataset at 929 meV per atom. Its raw total energy is -4.716 eV per atom. The calculation puts the uncorrected formation energy at 0.551 eV per atom.

***

9.
ScTl2Cd: optimized geometry, PBE-GGA.

The space group is I-4m2 (No. 119) and the conventional cell measures 4.429, 4.429 and 9.950 Å, with angles of 90.00, 90.00 and 90.00 degrees. The distinct sites, in fractional coordinates, are Sc at (0.000, 0.000, 0.000), Tl at (0.000, 0.000, 0.500), Tl at (0.000, 0.500, 0.250) and Cd at (0.000, 0.500, 0.750).

The calculation puts the energy above the most stable polymorph in this dataset at 52 meV per atom. Its raw total energy is -3.079 eV per atom. As for the formation energy: -0.085 eV per atom.

***

10.
InFe2Pd8: optimized geometry, PBE-GGA.

The space group is C2/m (No. 12) and the conventional cell measures 14.049, 3.995 and 6.250 Å, with angles of 90.00, 106.03 and 90.00 degrees. The distinct sites, in fractional coordinates, are In at (0.000, 0.000, 0.000), Fe at (0.224, 0.500, 0.650), Pd at (0.046, 0.500, 0.726), Pd at (0.101, 0.000, 0.467), Pd at (0.148, 0.500, 0.208) and Pd at (0.183, 0.000, 0.918).

Its raw total energy is -5.771 eV per atom. As for the formation energy: -0.207 eV per atom.

***

11.
ScRh4Au: optimized geometry, PBE-GGA.

The space group is F-43m (No. 216) and the conventional cell measures 7.320, 7.320 and 7.320 Å, with angles of 90.00, 90.00 and 90.00 degrees. The distinct sites, in fractional coordinates, are Sc at (0.000, 0.000, 0.000), Rh at (0.125, 0.125, 0.375) and Au at (0.250, 0.250, 0.750).

Its raw total energy is -6.754 eV per atom. As for the formation energy: -0.252 eV per atom.

***

12.
PaBeCr: optimized geometry, PBE-GGA.

The space group is P-6m2 (No. 187) and the conventional cell measures 3.9937, 3.9937 and 3.4889 Å, with angles of 90.00, 90.00 and 120.00 degrees. The distinct sites, in fractional coordinates, are Pa at (0.0000, 0.0000, 0.0000), Be at (0.3333, 0.6667, 0.5000) and Cr at (0.6667, 0.3333, 0.5000).

The calculation puts the energy above the most stable polymorph in this dataset at 0 meV per atom. Its raw total energy is -7.314 eV per atom. As for the formation energy: 0.301 eV per atom.

***

13.
TbNd2Si2: optimized geometry, PBE-GGA.

The space group is C2/m (No. 12) and the conventional cell measures 12.465, 4.372 and 10.760 Å, with angles of 90.00, 116.59 and 90.00 degrees. The distinct sites, in fractional coordinates, are Tb at (0.224, 0.000, 0.365), Nd at (0.015, 0.500, 0.688), Nd at (0.179, 0.500, 0.090), Si at (0.012, 0.000, 0.895) and Si at (0.109, 0.000, 0.554).

The calculation puts the energy above the most stable polymorph in this dataset at 68 meV per atom. Its raw total energy is -5.611 eV per atom. The calculation puts the uncorrected formation energy at -0.608 eV per atom.

***

14.
TbTmZrSc: optimized geometry, PBE-GGA.

The space group is F-43m (No. 216) and the conventional cell measures 7.558, 7.558 and 7.558 Å, with angles of 90.00, 90.00 and 90.00 degrees. The distinct sites, in fractional coordinates, are Tb at (0.000, 0.000, 0.000), Tm at (0.250, 0.250, 0.250), Zr at (0.000, 0.000, 0.500) and Sc at (0.250, 0.250, 0.750).

The calculation puts the energy above the most stable polymorph in this dataset at 108 meV per atom. Its raw total energy is -5.813 eV per atom. As for the formation energy: 0.183 eV per atom.

***

15.
RuS: optimized geometry, PBE-GGA.

The space group is P4_2/mnm (No. 136) and the conventional cell measures 6.933, 6.933 and 3.021 Å, with angles of 90.00, 90.00 and 90.00 degrees. The distinct sites, in fractional coordinates, are Ru at (0.139, 0.139, 0.000) and S at (0.187, 0.813, 0.000).

Its raw total energy is -6.864 eV per atom. The calculation puts the uncorrected formation energy at -0.163 eV per atom.

***

16.
Ce2NdCd8: optimized geometry, PBE-GGA.

The space group is Immm (No. 71) and the conventional cell measures 5.383, 6.569 and 15.940 Å, with angles of 90.00, 90.00 and 90.00 degrees. The distinct sites, in fractional coordinates, are Ce at (0.000, 0.000, 0.191), Nd at (0.000, 0.500, 0.000), Cd at (0.000, 0.227, 0.374), Cd at (0.000, 0.500, 0.202) and Cd at (0.249, 0.000, 0.000).

Its raw total energy is -2.381 eV per atom. As for the formation energy: -0.204 eV per atom.

***

17.
Hf2ZnH2: optimized geometry, PBE-GGA.

The space group is I4/mmm (No. 139) and the conventional cell measures 3.558, 3.558 and 9.856 Å, with angles of 90.00, 90.00 and 90.00 degrees. The distinct sites, in fractional coordinates, are Hf at (0.000, 0.000, 0.149), Zn at (0.000, 0.000, 0.500) and H at (0.000, 0.500, 0.250).

The calculation puts the energy above the most stable polymorph in this dataset at 0 meV per atom. Its raw total energy is -5.894 eV per atom.

***

18.
ReNi6Pt: optimized geometry, PBE-GGA.

The space group is P4/mmm (No. 123) and the conventional cell measures 3.630, 3.630 and 7.267 Å, with angles of 90.00, 90.00 and 90.00 degrees. The distinct sites, in fractional coordinates, are Re at (0.000, 0.000, 0.000), Ni at (0.000, 0.500, 0.241), Ni at (0.500, 0.500, 0.000), Ni at (0.500, 0.500, 0.500) and Pt at (0.000, 0.000, 0.500).

The calculation puts the energy above the most stable polymorph in this dataset at 9 meV per atom. Its raw total energy is -6.667 eV per atom. As for the formation energy: -0.019 eV per atom.

***

19.
Re2TcTe: optimized geometry, PBE-GGA.

The space group is R-3m (No. 166, hexagonal axes) and the conventional cell measures 2.9588, 2.9588 and 26.1447 Å, with angles of 90.00, 90.00 and 120.00 degrees. The distinct sites, in fractional coordinates, are Re at (0.0000, 0.0000, 0.2468), Tc at (0.0000, 0.0000, 0.5000) and Te at (0.0000, 0.0000, 0.0000).

Its raw total energy is -9.022 eV per atom. The calculation puts the uncorrected formation energy at 0.579 eV per atom.

***

20.
NaCa2Au: optimized geometry, PBE-GGA.

The space group is R-3m (No. 166, hexagonal axes) and the conventional cell measures 4.0909, 4.0909 and 32.4105 Å, with angles of 90.00, 90.00 and 120.00 degrees. The distinct sites, in fractional coordinates, are Na at (0.0000, 0.0000, 0.0000), Ca at (0.0000, 0.0000, 0.1126) and Au at (0.0000, 0.0000, 0.5000).

The calculation puts the energy above the most stable polymorph in this dataset at 121 meV per atom. Its raw total energy is -2.435 eV per atom. As for the formation energy: -0.285 eV per atom.

***

21.
HIrRh3: optimized geometry, PBE-GGA.

The space group is Pm-3m (No. 221) and the conventional cell measures 3.903, 3.903 and 3.903 Å, with angles of 90.00, 90.00 and 90.00 degrees. The distinct sites, in fractional coordinates, are H at (0.000, 0.000, 0.000), Ir at (0.500, 0.500, 0.500) and Rh at (0.000, 0.000, 0.500).

The calculation puts the energy above the most stable polymorph in this dataset at 0 meV per atom. Its raw total energy is -6.785 eV per atom.

***

22.
Y2InRuO: optimized geometry, PBE-GGA.

The space group is P4/mmm (No. 123) and the conventional cell measures 5.658, 5.658 and 4.747 Å, with angles of 90.00, 90.00 and 90.00 degrees. The distinct sites, in fractional coordinates, are Y at (0.000, 0.500, 0.000), In at (0.000, 0.000, 0.000), Ru at (0.000, 0.000, 0.500) and O at (0.500, 0.500, 0.500).

Its raw total energy is -4.993 eV per atom. The calculation puts the uncorrected formation energy at 0.987 eV per atom.

***

23.
YCuB3: optimized geometry, PBE-GGA.

The space group is Pm-3m (No. 221) and the conventional cell measures 3.954, 3.954 and 3.954 Å, with angles of 90.00, 90.00 and 90.00 degrees. The distinct sites, in fractional coordinates, are Y at (0.000, 0.000, 0.000), Cu at (0.500, 0.500, 0.500) and B at (0.000, 0.500, 0.500).

The calculation puts the energy above the most stable polymorph in this dataset at 0 meV per atom. Its raw total energy is -5.334 eV per atom. As for the formation energy: 0.785 eV per atom.

***

24.
Tb2TlAg: optimized geometry, PBE-GGA.

The space group is P4/mmm (No. 123) and the conventional cell measures 3.666, 3.666 and 7.744 Å, with angles of 90.00, 90.00 and 90.00 degrees. The distinct sites, in fractional coordinates, are Tb at (0.000, 0.000, 0.235), Tl at (0.500, 0.500, 0.500) and Ag at (0.500, 0.500, 0.000).

Its raw total energy is -3.955 eV per atom. As for the formation energy: -0.335 eV per atom.

***

25.
Na6AgHg2O: optimized geometry, PBE-GGA.

The space group is P-1 (No. 2) and the conventional cell measures 6.444, 6.549 and 6.891 Å, with angles of 77.24, 72.46 and 67.06 degrees. The distinct sites, in fractional coordinates, are Na at (0.161, 0.387, 0.275), Na at (0.204, 0.153, 0.900), Na at (0.302, 0.605, 0.790), Ag at (0.500, 0.000, 0.500), Hg at (0.223, 0.844, 0.340) and O at (0.000, 0.500, 0.000).

Its raw total energy is -2.060 eV per atom. The calculation puts the uncorrected formation energy at -0.427 eV per atom.

***

26.
Sr2AcPb3: optimized geometry, PBE-GGA.

The space group is Cmmm (No. 65) and the conventional cell measures 5.399, 16.253 and 9.546 Å, with angles of 90.00, 90.00 and 90.00 degrees. The distinct sites, in fractional coordinates, are Sr at (0.000, 0.000, 0.000), Sr at (0.000, 0.000, 0.500), Sr at (0.000, 0.334, 0.000), Ac at (0.000, 0.336, 0.500), Pb at (0.000, 0.168, 0.249) and Pb at (0.000, 0.500, 0.249).

Its raw total energy is -3.611 eV per atom. As for the formation energy: -0.511 eV per atom.